## AcTbPm2Nd4 (PBE)

Data for crystalline AcTbPm2Nd4 at its relaxed geometry.

Values from the calculation:
- Electronic total energy: -4.286 eV/atom
- Calculated formation energy: 378 meV/atom
- Symmetry: C2/c, No. 15
- DOS(E_F): 2.23 states/eV per atom

Unit cell a=9.7557 b=9.7557 c=7.0709 alpha=111.11 beta=111.11 gamma=88.43
Sites, in units of the cell vectors:
Ac: 0.0000 0.5000 0.0000
Ac: 0.5000 0.0000 0.5000
Tb: 0.0000 0.0000 0.0000
Tb: 0.0000 0.0000 0.5000
Pm: 0.0000 0.5000 0.5000
Pm: 0.5000 0.0000 0.0000
Pm: 0.5000 0.5000 0.0000
Pm: 0.5000 0.5000 0.5000
Nd: 0.2400 0.2558 0.4624
Nd: 0.2468 0.7527 0.5157
Nd: 0.2473 0.7532 0.9843
Nd: 0.2558 0.2400 0.9624
Nd: 0.7442 0.7600 0.0376
Nd: 0.7527 0.2468 0.0157
Nd: 0.7532 0.2473 0.4843
Nd: 0.7600 0.7442 0.5376

## AcTb2PmNd4 (PBE)

Data for crystalline AcTb2PmNd4 at its relaxed geometry.

Values from the calculation:
- Electronic total energy: -4.619 eV/atom
- Calculated formation energy: 30 meV/atom
- Symmetry: C2/m, No. 12
- DOS(E_F): 1.60 states/eV per atom

Unit cell a=6.3833 b=6.3833 c=10.4627 alpha=114.21 beta=114.21 gamma=48.19
Sites, in units of the cell vectors:
Ac: 0.0000 0.0000 0.0000
Tb: 0.4990 0.4990 0.2553
Tb: 0.5010 0.5010 0.7447
Pm: 0.0000 0.0000 0.5000
Nd: 0.2478 0.2478 0.8702
Nd: 0.2511 0.2511 0.3780
Nd: 0.7489 0.7489 0.6220
Nd: 0.7522 0.7522 0.1298

## AcTb2PmNd5 (PBE)

Data for crystalline AcTb2PmNd5 at its relaxed geometry.

Values from the calculation:
- Electronic total energy: -4.522 eV/atom
- Calculated formation energy: 140 meV/atom
- Symmetry: Cmc2_1, No. 36
- DOS(E_F): 1.24 states/eV per atom

Unit cell a=12.5545 b=12.5545 c=9.5508 alpha=90.00 beta=90.00 gamma=154.04
Sites, in units of the cell vectors:
Ac: 0.1023 0.8977 0.5000
Ac: 0.8977 0.1023 0.0000
Tb: 0.3284 0.6716 0.7480
Tb: 0.3880 0.6120 0.3579
Tb: 0.6120 0.3880 0.8579
Tb: 0.6716 0.3284 0.2480
Pm: 0.2631 0.7369 0.1086
Pm: 0.7369 0.2631 0.6086
Nd: 0.0243 0.9757 0.8252
Nd: 0.1043 0.8957 0.1047
Nd: 0.1896 0.8104 0.7986
Nd: 0.2412 0.7588 0.4337
Nd: 0.4922 0.5078 0.6036
Nd: 0.5078 0.4922 0.1036
Nd: 0.7588 0.2412 0.9337
Nd: 0.8104 0.1896 0.2986
Nd: 0.8957 0.1043 0.6047
Nd: 0.9757 0.0243 0.3252

## Ac5TbPmNd2 (PBE)

Data for crystalline Ac5TbPmNd2 at its relaxed geometry.

Values from the calculation:
- Electronic total energy: -4.101 eV/atom
- Calculated formation energy: 283 meV/atom
- Symmetry: I4/mcm, No. 140
- DOS(E_F): 1.54 states/eV per atom

Unit cell a=11.9564 b=11.9564 c=11.9564 alpha=138.48 beta=138.48 gamma=60.17
Sites, in units of the cell vectors:
Ac: 0.0000 0.0000 0.0000
Ac: 0.0857 0.5857 0.9450
Ac: 0.1408 0.0857 0.5000
Ac: 0.3592 0.8592 0.9450
Ac: 0.4143 0.3592 0.5000
Ac: 0.5000 0.5000 0.0000
Ac: 0.5857 0.6408 0.5000
Ac: 0.6408 0.1408 0.0550
Ac: 0.8592 0.9143 0.5000
Ac: 0.9143 0.4143 0.0550
Tb: 0.2500 0.7500 0.5000
Tb: 0.7500 0.2500 0.5000
Pm: 0.2500 0.2500 0.0000
Pm: 0.7500 0.7500 0.0000
Nd: 0.1220 0.3780 0.5000
Nd: 0.3780 0.8780 0.2559
Nd: 0.6220 0.1220 0.7441
Nd: 0.8780 0.6220 0.5000

## AcTb2PmNd6 (PBE)

Data for crystalline AcTb2PmNd6 at its relaxed geometry.

Values from the calculation:
- Electronic total energy: -4.555 eV/atom
- Calculated formation energy: 117 meV/atom
- Symmetry: C2/c, No. 15
- DOS(E_F): 1.45 states/eV per atom

Unit cell a=9.0938 b=9.0938 c=9.8735 alpha=93.32 beta=93.32 gamma=117.71
Sites, in units of the cell vectors:
Ac: 0.0282 0.9718 0.7500
Ac: 0.9718 0.0282 0.2500
Tb: 0.1993 0.3078 0.5467
Tb: 0.3078 0.1993 0.0467
Tb: 0.6922 0.8007 0.9533
Tb: 0.8007 0.6922 0.4533
Pm: 0.4093 0.5907 0.2500
Pm: 0.5907 0.4093 0.7500
Nd: 0.0154 0.5569 0.6816
Nd: 0.1189 0.7503 0.0545
Nd: 0.2497 0.8811 0.4455
Nd: 0.2934 0.5078 0.8809
Nd: 0.4431 0.9846 0.8184
Nd: 0.4922 0.7066 0.6191
Nd: 0.5078 0.2934 0.3809
Nd: 0.5569 0.0154 0.1816
Nd: 0.7066 0.4922 0.1191
Nd: 0.7503 0.1189 0.5545
Nd: 0.8811 0.2497 0.9455
Nd: 0.9846 0.4431 0.3184

## AcTbPmNd3 (PBE)

Data for crystalline AcTbPmNd3 at its relaxed geometry.

Values from the calculation:
- Electronic total energy: -4.438 eV/atom
- Calculated formation energy: 194 meV/atom
- Symmetry: C2/m, No. 12
- DOS(E_F): 1.46 states/eV per atom

Unit cell a=10.8263 b=10.8263 c=7.1459 alpha=91.16 beta=91.16 gamma=31.66
Sites, in units of the cell vectors:
Ac: 0.1477 0.1477 0.0329
Ac: 0.8523 0.8523 0.9671
Tb: 0.1436 0.1436 0.4873
Tb: 0.8564 0.8564 0.5127
Pm: 0.4443 0.4443 0.7171
Pm: 0.5557 0.5557 0.2829
Nd: 0.0169 0.0169 0.7422
Nd: 0.2814 0.2814 0.7293
Nd: 0.3393 0.3393 0.2584
Nd: 0.6607 0.6607 0.7416
Nd: 0.7186 0.7186 0.2707
Nd: 0.9831 0.9831 0.2578